Entry from Alexandria: NbSi2BO after structural relaxation (PBE).

energy relative to the elements, uncorrected	1.40	eV/atom
E_tot	-5.107	eV per atom
total magnetization	2.0	μB/f.u.

Cell lengths 4.901, 4.901, 4.232 Å; angles 90.00, 90.00, 90.00 degrees
Fractional positions:
Nb  0.000  0.000  0.000
Si  0.000  0.500  0.000
Si  0.500  0.000  0.000
B  0.000  0.000  0.500
O  0.500  0.500  0.500